Here is a relaxed structure of ErAl3Ru from Alexandria. Energies are from PBE.

Summary:
- Final energy: -5.620 eV per atom
- Energy of formation: -3.03 eV/f.u.
- Space group: Pm-3m, No. 221
- Total magnetic moment: 0.000 μB/f.u.

Cell: 6.4034 6.4034 6.4034 Å, 90.00 90.00 90.00°
Sites, in units of the cell vectors:
Er 0.0000 0.5000 0.5000
Er 0.5000 0.5000 0.0000
Al 0.2111 0.2111 0.7889
Al 0.2111 0.7889 0.7889
Ru 0.5000 0.0000 0.0000
Ru 0.0000 0.5000 0.0000
Al 0.7889 0.7889 0.7889
Ru 0.0000 0.0000 0.5000
Al 0.2111 0.7889 0.2111
Al 0.7889 0.7889 0.2111
Al 0.7889 0.2111 0.2111
Er 0.5000 0.0000 0.5000
Al 0.5000 0.5000 0.5000
Al 0.7889 0.2111 0.7889
Al 0.2111 0.2111 0.2111


Here is a relaxed structure of LaBeAsCl2 from Alexandria. Energies are from PBE.

Summary:
- Final energy: -4.153 eV per atom
- Uncorrected formation energy: -753 meV/atom
- Space group: P4/mmm, No. 123
- Total magnetic moment: 0.000 μB/f.u.

Cell: 4.2490 12.0457 4.2490 Å, 90.00 90.00 90.00°
Sites, in units of the cell vectors:
Be 0.0000 0.0000 0.0000
Cl 0.0000 0.0000 0.5000
La 0.0000 0.5000 0.0000
Cl 0.5000 0.0000 0.0000
As 0.5000 0.5000 0.5000


Question: Look up the total magnetic moment of the first one.
Answer: 0.000 μB/f.u.


Question: Number 1 is which compound?
Answer: ErAl3Ru


Question: The highest final energy belongs to which entry?
Answer: LaBeAsCl2